No. 1
The following is a DFT calculation (PBE-GGA) of crystalline Ac3InRu at its relaxed geometry.

Properties
energy relative to the elements = -231 meV per atom
Fermi-level density of states = 6.4 states/eV/f.u.

a = 5.6918 Å, b = 5.6918 Å, c = 5.6918 Å
α = 90.00°, β = 90.00°, γ = 90.00°
With the nearest neighbours (Å) after each atom.
Element x y z (fractional)
Ac 0.0000 0.0000 0.5000  2 Ru 2.85
Ac 0.0000 0.5000 0.0000  2 Ru 2.85
Ac 0.5000 0.0000 0.0000  2 Ru 2.85
In 0.5000 0.5000 0.5000  12 Ac 4.02
Ru 0.0000 0.0000 0.0000  6 Ac 2.85


No. 2
The following is a DFT calculation (PBE-GGA) of crystalline CsRb2GePd at its relaxed geometry.

Properties
energy relative to the elements = 6 meV per atom
Fermi-level density of states = 4.0 states/eV/f.u.

a = 6.6873 Å, b = 6.6873 Å, c = 4.8914 Å
α = 90.00°, β = 90.00°, γ = 90.00°
With the nearest neighbours (Å) after each atom.
Element x y z (fractional)
Cs 0.0000 0.0000 0.0000  8 Rb 4.14
Rb 0.0000 0.5000 0.5000  2 Pd 3.34
Rb 0.5000 0.0000 0.5000  2 Pd 3.34
Ge 0.5000 0.5000 0.0000  2 Pd 2.45
Pd 0.5000 0.5000 0.5000  2 Ge 2.45


No. 3
The following is a DFT calculation (PBE-GGA) of crystalline Na2GaIr2S6 at its relaxed geometry.

Properties
Fermi-level density of states = 10.6 states/eV/f.u.
raw formation energy = -0.649 eV per atom

a = 6.2921 Å, b = 6.2921 Å, c = 6.8712 Å
α = 98.55°, β = 98.55°, γ = 120.80°
With the nearest neighbours (Å) after each atom.
Element x y z (fractional)
Na 0.1626 0.8374 0.0000  6 S 2.87-2.93
Na 0.8374 0.1626 0.0000  6 S 2.87-2.93
Ga 0.0000 0.0000 0.5000  6 S 2.49-2.54
Ir 0.3337 0.6663 0.5000  6 S 2.38-2.39
Ir 0.6663 0.3337 0.5000  6 S 2.38-2.39
S 0.0595 0.4126 0.6901  2 Ir 2.38-2.39, 1 Ga 2.54
S 0.2858 0.2858 0.3113  2 Ir 2.39, 1 Ga 2.49
S 0.4126 0.0595 0.6901  2 Ir 2.38-2.39, 1 Ga 2.54
S 0.5874 0.9405 0.3099  2 Ir 2.38-2.39, 1 Ga 2.54
S 0.7142 0.7142 0.6887  2 Ir 2.39, 1 Ga 2.49
S 0.9405 0.5874 0.3099  2 Ir 2.38-2.39, 1 Ga 2.54


No. 4
The following is a DFT calculation (PBE-GGA) of crystalline AcSm2Te3 at its relaxed geometry.

Properties
Fermi-level density of states = 3.6 states/eV/f.u.
raw formation energy = -1.400 eV per atom

a = 4.5426 Å, b = 6.4446 Å, c = 7.8641 Å
α = 114.12°, β = 106.76°, γ = 90.13°
With the nearest neighbours (Å) after each atom.
Element x y z (fractional)
Ac 0.0000 0.0000 0.0000  6 Te 3.22-3.33
Sm 0.3420 0.3431 0.6846  6 Te 3.13-3.24
Sm 0.6580 0.6569 0.3154  6 Te 3.13-3.24
Te 0.0000 0.5000 0.0000  4 Sm 3.13, 2 Ac 3.22
Te 0.3215 0.8219 0.6425  4 Sm 3.18-3.24, 2 Ac 3.33
Te 0.6785 0.1781 0.3575  4 Sm 3.18-3.24, 2 Ac 3.33


Q: Number 4 is which compound?
A: AcSm2Te3


Q: Fermi-level density of states of number 2 (CsRb2GePd)?
A: 4.0 states/eV/f.u.